# 1
{"formula": "BaSc3Re", "functional": "GGA-PBE", "state": "relaxed", "e_above_lowest_polymorph_ev_per_atom": 1.8878, "crystal_system": "cubic", "dos_ef_per_ev_fu": 10.85, "e_tot_ev_per_atom": -4.623, "density_g_cm3": 5.86, "sg": "No. 221", "cell": [[5.0651, 0.0000, 0.0000], [0.0000, 5.0651, 0.0000], [0.0000, 0.0000, 5.0651]], "species": ["Sc", "Sc", "Sc", "Re", "Ba"], "fractional_positions": [[0.0000, 0.5000, 0.0000], [0.0000, 0.0000, 0.5000], [0.5000, 0.0000, 0.0000], [0.5000, 0.5000, 0.5000], [0.0000, 0.0000, 0.0000]]}

---

# 2
{"formula": "BaSc2Re", "functional": "GGA-PBE", "state": "relaxed", "e_above_lowest_polymorph_ev_per_atom": 0.6051, "crystal_system": "orthorhombic", "dos_ef_per_ev_fu": 5.18, "e_tot_ev_per_atom": -6.007, "density_g_cm3": 7.58, "sg": "No. 65", "cell": [[5.0924, -0.0134, 0.0000], [-1.0983, 4.9725, 0.0000], [0.0000, 0.0000, 3.5803]], "species": ["Ba", "Re", "Sc", "Sc"], "fractional_positions": [[0.5000, 0.0000, 0.5000], [0.0000, 0.5000, 0.5000], [0.0000, 0.0000, 0.0000], [0.5000, 0.5000, 0.0000]]}

---

# 3
{"formula": "BaScRe2", "functional": "GGA-PBE", "state": "relaxed", "e_above_lowest_polymorph_ev_per_atom": 0.4787, "crystal_system": "trigonal", "dos_ef_per_ev_fu": 4.08, "e_tot_ev_per_atom": -7.509, "density_g_cm3": 10.28, "sg": "No. 160", "cell": [[-5.7643, 8.6170, -2.5119], [-8.1253, 6.6163, -1.9988], [-6.8407, 8.1752, 0.4012]], "species": ["Ba", "Re", "Re", "Sc"], "fractional_positions": [[0.7420, 0.7420, 0.7420], [0.9807, 0.9807, 0.9807], [0.2569, 0.2569, 0.2569], [0.5204, 0.5204, 0.5204]]}

---

# 4
{"formula": "Ba2ScRe", "functional": "GGA-PBE", "state": "relaxed", "e_above_lowest_polymorph_ev_per_atom": 0.0043, "crystal_system": "tetragonal", "dos_ef_per_ev_fu": 5.12, "e_tot_ev_per_atom": -5.155, "density_g_cm3": 6.27, "sg": "No. 99", "cell": [[-1.8613, 2.5715, -2.0122], [-3.0299, -2.2235, -0.0415], [-3.0777, 4.0443, 8.0152]], "species": ["Ba", "Ba", "Re", "Sc"], "fractional_positions": [[0.0000, 0.0000, 0.9247], [0.5000, 0.5000, 0.3321], [0.0000, 0.0000, 0.5727], [0.5000, 0.5000, 0.6705]]}

---

# 5
{"formula": "BaSc4Re", "functional": "GGA-PBE", "state": "relaxed", "crystal_system": "cubic", "dos_ef_per_ev_fu": 8.93, "e_tot_ev_per_atom": -5.801, "density_g_cm3": 5.78, "sg": "No. 216", "cell": [[0.4401, -5.7443, 1.2299], [-0.3208, -1.8497, 5.5839], [-4.7296, -2.9878, 1.8460]], "species": ["Ba", "Sc", "Sc", "Sc", "Sc", "Re"], "fractional_positions": [[0.7500, 0.7500, 0.7500], [0.8860, 0.3713, 0.3713], [0.3713, 0.3713, 0.8860], [0.3713, 0.8860, 0.3713], [0.3713, 0.3713, 0.3713], [0.0000, 0.0000, 0.0000]]}

---

# 6
{"formula": "BaSc2Re", "functional": "GGA-PBE", "state": "relaxed", "e_above_lowest_polymorph_ev_per_atom": 0.2713, "crystal_system": "monoclinic", "dos_ef_per_ev_fu": 2.92, "e_tot_ev_per_atom": -6.341, "density_g_cm3": 5.86, "sg": "No. 6", "cell": [[4.7440, 0.0000, 0.0000], [0.0000, 3.6015, 0.0325], [0.0000, 1.7299, 6.8736]], "species": ["Ba", "Re", "Sc", "Sc"], "fractional_positions": [[0.0000, 0.5366, 0.5509], [0.5000, 0.8945, 0.8357], [0.0000, 0.8186, 0.9881], [0.5000, 0.2503, 0.1253]]}

---

# 7
{"formula": "BaScRe2", "functional": "GGA-PBE", "state": "relaxed", "e_above_lowest_polymorph_ev_per_atom": 0.9631, "crystal_system": "cubic", "dos_ef_per_ev_fu": 4.97, "e_tot_ev_per_atom": -7.024, "density_g_cm3": 11.22, "sg": "No. 225", "cell": [[4.8326, -0.4160, -0.5254], [2.0109, -4.3933, -0.6771], [1.8895, -1.1749, -4.3420]], "species": ["Sc", "Re", "Re", "Ba"], "fractional_positions": [[0.0000, 0.0000, 0.0000], [0.2500, 0.2500, 0.2500], [0.7500, 0.7500, 0.7500], [0.5000, 0.5000, 0.5000]]}

---

# 8
{"formula": "BaScRe2", "functional": "GGA-PBE", "state": "relaxed", "e_above_lowest_polymorph_ev_per_atom": 0.5794, "crystal_system": "orthorhombic", "dos_ef_per_ev_fu": 4.03, "e_tot_ev_per_atom": -7.408, "density_g_cm3": 11.32, "sg": "No. 65", "cell": [[2.9093, -0.0069, 0.0000], [-0.8828, 2.7721, 0.0000], [0.0000, 0.0000, 10.0990]], "species": ["Ba", "Re", "Re", "Sc"], "fractional_positions": [[0.5000, 0.5000, 0.7500], [0.0000, 0.0000, 0.0329], [0.0000, 0.0000, 0.4671], [0.5000, 0.5000, 0.2500]]}

---

# 9
{"formula": "BaSc2Re", "functional": "GGA-PBE", "state": "relaxed", "e_above_lowest_polymorph_ev_per_atom": 0.3217, "crystal_system": "orthorhombic", "dos_ef_per_ev_fu": 4.80, "e_tot_ev_per_atom": -6.290, "density_g_cm3": 6.15, "sg": "No. 71", "cell": [[6.4635, 0.7380, 0.3916], [2.2124, 6.1177, -0.3916], [-3.4176, -4.5925, 3.1151]], "species": ["Ba", "Re", "Sc", "Sc"], "fractional_positions": [[0.7500, 0.2500, 0.5000], [0.2500, 0.7500, 0.5000], [0.0647, 0.0647, 0.0000], [0.4353, 0.4353, 0.0000]]}

---

# 10
{"formula": "Ba3ScRe", "functional": "GGA-PBE", "state": "relaxed", "e_above_lowest_polymorph_ev_per_atom": 0.0000, "crystal_system": "cubic", "dos_ef_per_ev_fu": 7.31, "e_tot_ev_per_atom": -3.927, "density_g_cm3": 4.94, "sg": "No. 221", "cell": [[-3.7056, 0.8800, 4.6368], [-4.7183, -0.8282, -3.6136], [0.1100, -5.8776, 1.2034]], "species": ["Sc", "Re", "Ba", "Ba", "Ba"], "fractional_positions": [[0.5000, 0.5000, 0.5000], [0.0000, 0.0000, 0.0000], [0.0000, 0.5000, 0.0000], [0.0000, 0.0000, 0.5000], [0.5000, 0.0000, 0.0000]]}

---

# 11
{"formula": "Ba2ScRe", "functional": "GGA-PBE", "state": "relaxed", "e_above_lowest_polymorph_ev_per_atom": 0.5829, "crystal_system": "tetragonal", "dos_ef_per_ev_fu": 5.61, "e_tot_ev_per_atom": -4.577, "density_g_cm3": 7.30, "sg": "No. 139", "cell": [[-1.4276, 5.3788, -2.8524], [0.3318, 0.0261, -6.2446], [-2.6025, -3.6294, 4.3773]], "species": ["Ba", "Ba", "Re", "Sc"], "fractional_positions": [[0.0000, 0.0000, 0.0000], [0.5000, 0.5000, 0.0000], [0.2500, 0.7500, 0.5000], [0.7500, 0.2500, 0.5000]]}

---

# 12
{"formula": "BaSc2Re", "functional": "GGA-PBE", "state": "relaxed", "e_above_lowest_polymorph_ev_per_atom": 0.2341, "crystal_system": "monoclinic", "dos_ef_per_ev_fu": 4.65, "e_tot_ev_per_atom": -6.378, "density_g_cm3": 5.80, "sg": "No. 8", "cell": [[4.5513, -0.4648, 0.0472], [2.6838, 3.7051, 0.0472], [2.3354, 1.0459, 6.5712]], "species": ["Ba", "Re", "Sc", "Sc"], "fractional_positions": [[0.4893, 0.4893, 0.5299], [0.6838, 0.6838, 0.9494], [0.0336, 0.0336, 0.8998], [0.2933, 0.2933, 0.1208]]}